# 1
Below is a relaxed structure of NiB4As, with properties calculated at the PBE level.

Calculated values
Size of the total moment ... 0.00 μB per atom
E ... -34.00 eV/f.u.
Volume ... 9.02 Å³/atom

Cell: 4.5503 4.5503 4.5503 Å, 141.29 108.34 84.56°
With the nearest neighbours (Å) after each atom.
Fractional positions:
1 Ni 0.0000 0.0000 0.0000  12 B 2.39-2.49
2 B 0.0762 0.7419 0.3343  3 B 1.76-1.77
3 B 0.4076 0.7419 0.6657  3 B 1.76-1.77
4 B 0.5924 0.2581 0.3343  3 B 1.76-1.77
5 B 0.9238 0.2581 0.6657  3 B 1.76-1.77
6 As 0.5000 0.5000 0.0000  12 B 2.41-2.46

# 2
Below is a relaxed structure of TeWSe2SBr, with properties calculated at the PBE level.

Calculated values
Size of the total moment ... 0.00 μB per atom
E ... -30.88 eV/f.u.
Volume ... 29.49 Å³/atom

Cell: 6.4447 7.9931 8.3970 Å, 117.50 105.90 96.64°
With the nearest neighbours (Å) after each atom.
Fractional positions:
1 Te 0.1231 0.0899 0.3097  1 Se 2.53
2 Te 0.8769 0.9101 0.6903  1 Se 2.53
3 W 0.2831 0.9999 0.0002  2 S 2.43, 4 Se 2.57-2.66
4 W 0.7169 0.0001 0.9998  2 S 2.43, 4 Se 2.57-2.66
5 Se 0.0349 0.2437 0.9992  1 Te 2.53, 2 W 2.66
6 Se 0.3785 0.6905 0.7833  1 S 2.38, 2 W 2.57
7 Se 0.6215 0.3095 0.2167  1 S 2.38, 2 W 2.57
8 Se 0.9651 0.7563 0.0008  1 Te 2.53, 2 W 2.66
9 S 0.4773 0.1587 0.8739  1 Se 2.38, 2 W 2.43
10 S 0.5227 0.8413 0.1261  1 Se 2.38, 2 W 2.43
11 Br 0.2392 0.6277 0.4198  1 Se 2.71
12 Br 0.7608 0.3723 0.5802  1 Se 2.71

# 3
Below is a relaxed structure of Cu2Ag3, with properties calculated at the PBE level.

Calculated values
DFT formation energy ... 0.0897 eV per atom
E ... -15.46 eV/f.u.
Volume ... 15.49 Å³/atom

Cell: 6.0779 6.0779 9.3704 Å, 100.29 100.29 27.09°
With the nearest neighbours (Å) after each atom.
Fractional positions:
1 Cu 0.0000 0.0000 0.0000  4 Cu 2.62-2.85, 7 Ag 2.67-2.77
2 Cu 0.1045 0.1045 0.3126  5 Cu 2.66-2.96, 7 Ag 2.68-2.80
3 Cu 0.3142 0.3142 0.9124  4 Cu 2.62-2.85, 7 Ag 2.74-2.87
4 Cu 0.5064 0.5064 0.4963  4 Cu 2.66-2.85, 7 Ag 2.69-2.86
5 Ag 0.1967 0.1967 0.6007  4 Cu 2.69-2.99, 8 Ag 2.80-2.88
6 Ag 0.4171 0.4171 0.1989  6 Cu 2.67-2.79, 6 Ag 2.85-2.94
7 Ag 0.6119 0.6119 0.8160  7 Ag 2.75-2.85, 5 Cu 2.75-3.03
8 Ag 0.6981 0.6981 0.1096  6 Ag 2.75-2.94, 6 Cu 2.76-2.87
9 Ag 0.8089 0.8089 0.4037  4 Cu 2.73-2.80, 8 Ag 2.83-2.87
10 Ag 0.9065 0.9065 0.7077  5 Cu 2.76-2.86, 7 Ag 2.84-2.88